No. 1
Below is a geometry-optimized BaV2SiI structure, with properties calculated at the GGA-PBE level.

Cell lengths 5.1830, 6.4268, 5.1830 Å; angles 90.00, 90.00, 90.00 degrees
Last column: nearest neighbours and their distance in Å.
Atoms (fractional coordinates):
Ba  0.0000  0.5000  0.0000  2 I 3.21
V  0.5000  0.0000  0.0000  2 I 2.59
V  0.0000  0.0000  0.5000  2 I 2.59
I  0.0000  0.0000  0.0000  4 V 2.59
Si  0.5000  0.5000  0.5000  4 Ba 3.66

Summary:
Total DFT energy (no corrections) in eV per atom: -4.2923
Theoretical density in g/cm³: 3.791
Space-group type: P4/mmm (123)
Formation energy without anion corrections in kJ/mol of formula units: 547

=====

No. 2
Below is a geometry-optimized BaGePPd3 structure, with properties calculated at the GGA-PBE level.

Cell lengths 6.3228, 6.7171, 7.1626 Å; angles 117.96, 90.00, 90.00 degrees
Last column: nearest neighbours and their distance in Å.
Atoms (fractional coordinates):
P  0.7500  0.5799  0.1599  5 Pd 2.28-2.36
P  0.2500  0.4201  0.8401  5 Pd 2.28-2.36
Ba  0.2500  0.7550  0.5100  4 Pd 3.16-3.36
Ba  0.7500  0.2450  0.4900  4 Pd 3.16-3.36
Ge  0.2500  0.0479  0.0957  5 Pd 2.43-2.57
Ge  0.7500  0.9521  0.9043  5 Pd 2.43-2.57
Pd  0.2500  0.2399  0.4798  1 P 2.28, 1 Ge 2.43
Pd  0.7500  0.7601  0.5202  1 P 2.28, 1 Ge 2.43
Pd  0.5000  0.7120  0.0000  2 P 2.36, 2 Ge 2.57
Pd  0.0000  0.7120  0.0000  2 P 2.36, 2 Ge 2.57
Pd  0.5000  0.2880  0.0000  2 P 2.36, 2 Ge 2.57
Pd  0.0000  0.2880  0.0000  2 P 2.36, 2 Ge 2.57

Summary:
Total DFT energy (no corrections) in eV per atom: -5.2158
Theoretical density in g/cm³: 6.924
Space-group type: Cmcm (63)
DFT formation energy in eV/atom: -0.6278

=====

No. 3
Below is a geometry-optimized Ac8Pr5Tm structure, with properties calculated at the GGA-PBE level.

Cell lengths 9.1750, 9.1505, 9.2342 Å; angles 115.46, 99.99, 113.50 degrees
Last column: nearest neighbours and their distance in Å.
Atoms (fractional coordinates):
Pr  0.8513  0.9497  0.2622  1 Pr 3.48, 7 Ac 3.65-3.82, 1 Tm 3.85
Pr  0.8552  0.7391  0.7277  3 Ac 3.42-3.81, 1 Pr 3.50, 1 Tm 3.67
Pr  0.3082  0.0508  0.9015  1 Pr 3.50, 7 Ac 3.55-3.84
Pr  0.9923  0.2528  0.1165  3 Ac 3.42-3.82, 1 Pr 3.48, 1 Tm 3.73
Pr  0.5692  0.0091  0.5606  7 Ac 3.49-3.90
Ac  0.5383  0.7947  0.8453  4 Pr 3.42-3.82, 1 Tm 3.49
Ac  0.2222  0.7487  0.0776  7 Ac 3.66-4.09, 2 Pr 3.67-3.95, 1 Tm 3.69
Ac  0.0758  0.7553  0.4233  1 Tm 3.42, 4 Pr 3.64-3.82, 1 Ac 3.66
Ac  0.4897  0.5565  0.2664  4 Pr 3.51-3.85, 1 Ac 3.90
Ac  0.0545  0.2053  0.7483  5 Pr 3.42-3.81, 1 Tm 3.42
Ac  0.6616  0.2424  0.3063  1 Tm 3.41, 4 Pr 3.63-3.79, 1 Ac 3.68
Ac  0.3318  0.2558  0.4793  7 Ac 3.68-4.11, 2 Pr 3.68-3.90, 1 Tm 3.69
Ac  0.7127  0.4468  0.9396  3 Pr 3.49-3.84
Tm  0.0872  0.4931  0.5955  6 Ac 3.41-3.69, 2 Pr 3.67-3.73

Summary:
Total DFT energy (no corrections) in eV per atom: -4.2020
Theoretical density in g/cm³: 7.652
Space-group type: P1 (1)
DFT formation energy in eV/atom: 0.1720